Record 1
Pm12TlGa6 | PBE-GGA | optimized geometry

Calculated values
Space group   Im-3

Structure (POSCAR):
```
Pm12TlGa6
1.0
8.9780 0.0000 0.0000
-2.9927 8.4645 0.0000
-2.9927 -4.2323 7.3305
Pm Tl Ga
12 1 6
Direct
0.2939 0.1042 0.8103
0.2939 0.4836 0.1897
0.7061 0.5164 0.8103
0.7061 0.8958 0.1897
0.1042 0.8103 0.2939
0.4836 0.1897 0.2939
0.5164 0.8103 0.7061
0.8958 0.1897 0.7061
0.8103 0.2939 0.1042
0.1897 0.2939 0.4836
0.8103 0.7061 0.5164
0.1897 0.7061 0.8958
0.0000 0.0000 0.0000
0.3792 0.5000 0.8792
0.6208 0.5000 0.1208
0.5000 0.8792 0.3792
0.5000 0.1208 0.6208
0.8792 0.3792 0.5000
0.1208 0.6208 0.5000
```

=====

Record 2
Pm7Tl2Ga2 | PBE-GGA | optimized geometry

Calculated values
Space group   Cmmm

Structure (POSCAR):
```
Pm7Tl2Ga2
1.0
-0.1498 -0.2390 -6.7254
7.2803 -3.7439 -0.0294
-2.8240 -5.5115 2.6381
Pm Tl Ga
7 2 2
Direct
0.0000 0.2998 0.4998
0.4998 0.7002 0.0000
0.0000 0.7002 0.5002
0.5002 0.2998 0.0000
0.0000 0.0000 0.0000
0.5000 0.7180 0.5000
0.5000 0.2820 0.5000
0.7011 0.0000 0.2989
0.2989 0.0000 0.7011
0.8341 0.5000 0.8341
0.1659 0.5000 0.1659
```

=====

It is found that the ΔH_f (0 K) values, taken in the order of the records, are -0.366, -0.085 eV per atom.
It is found that the E_tot values, taken in the order of the records, are -4.4466, -4.0886 eV per atom.
It is found that the spin magnetization values, taken in the order of the records, are 0.00, 0.00 μB/atom.